[1]
Here is a geometry-optimized CaAc2La6 structure from Alexandria. Energies are from PBE.

The space group is C2/c (No. 15) and the conventional cell measures 28.098, 7.946 and 6.345 Å, with angles of 90.00, 95.33 and 90.00 degrees. The inequivalent atoms are Ca at (0.000, 0.144, 0.250), Ac at (0.243, 0.366, 0.748), La at (0.059, 0.360, 0.772), La at (0.138, 0.081, 0.867) and La at (0.139, 0.361, 0.330).

Its magnetization is 0.00 μB/f.u. The energy of formation from the pure elements comes out at 132 meV/atom. The calculation puts the raw total energy at -4.29 eV/atom.

***

[2]
Here is a geometry-optimized Ca5Ac4La structure from Alexandria. Energies are from PBE.

The space group is C2/m (No. 12) and the conventional cell measures 19.066, 3.877 and 12.164 Å, with angles of 90.00, 91.71 and 90.00 degrees. The inequivalent atoms are Ca at (0.000, 0.000, 0.000), Ca at (0.169, 0.500, 0.050), Ca at (0.171, 0.500, 0.442), Ac at (0.015, 0.500, 0.252), Ac at (0.158, 0.000, 0.741) and La at (0.000, 0.000, 0.500).

Its magnetization is 0.00 μB/f.u. The energy of formation from the pure elements comes out at 167 meV/atom. The calculation puts the raw total energy at -2.97 eV/atom.

***

[3]
Here is a geometry-optimized Ca2Ac2La3 structure from Alexandria. Energies are from PBE.

The space group is Cmmm (No. 65) and the conventional cell measures 5.780, 26.148 and 3.750 Å, with angles of 90.00, 90.00 and 90.00 degrees. The inequivalent atoms are Ca at (0.000, 0.212, 0.000), Ac at (0.000, 0.358, 0.500), La at (0.000, 0.068, 0.000) and La at (0.000, 0.500, 0.500).

Its magnetization is 0.00 μB/f.u. The energy of formation from the pure elements comes out at 49 meV/atom. The calculation puts the raw total energy at -3.81 eV/atom.

***

[4]
Here is a geometry-optimized Ca3Ac2La2 structure from Alexandria. Energies are from PBE.

The space group is Cmmm (No. 65) and the conventional cell measures 5.985, 26.305 and 3.769 Å, with angles of 90.00, 90.00 and 90.00 degrees. The inequivalent atoms are Ca at (0.000, 0.000, 0.000), Ca at (0.000, 0.428, 0.500), Ac at (0.000, 0.288, 0.500) and La at (0.000, 0.152, 0.000).

Its magnetization is 0.00 μB/f.u. The energy of formation from the pure elements comes out at 82 meV/atom. The calculation puts the raw total energy at -3.36 eV/atom.

***

[5]
Here is a geometry-optimized CaAcLa structure from Alexandria. Energies are from PBE.

The space group is I4mm (No. 107) and the conventional cell measures 3.924, 3.924 and 16.217 Å, with angles of 90.00, 90.00 and 90.00 degrees. The inequivalent atoms are Ca at (0.000, 0.000, 0.000), Ac at (0.000, 0.000, 0.676) and La at (0.000, 0.000, 0.331).

Its magnetization is 0.00 μB/f.u. The energy of formation from the pure elements comes out at 22 meV/atom. The calculation puts the raw total energy at -3.66 eV/atom.

***

[6]
Here is a geometry-optimized Ca2Ac5La4 structure from Alexandria. Energies are from PBE.

The space group is P2/m (No. 10) and the conventional cell measures 10.100, 3.811 and 12.045 Å, with angles of 90.00, 92.31 and 90.00 degrees. The inequivalent atoms are Ca at (0.072, 0.000, 0.131), Ac at (0.146, 0.000, 0.631), Ac at (0.441, 0.000, 0.164), Ac at (0.500, 0.000, 0.500), La at (0.204, 0.500, 0.371) and La at (0.256, 0.500, 0.910).

Its magnetization is 0.00 μB/f.u. The energy of formation from the pure elements comes out at 127 meV/atom. The calculation puts the raw total energy at -3.90 eV/atom.

***

[7]
Here is a geometry-optimized Ca3AcLa structure from Alexandria. Energies are from PBE.

The space group is C2/m (No. 12) and the conventional cell measures 18.121, 6.165 and 7.594 Å, with angles of 90.00, 103.54 and 90.00 degrees. The inequivalent atoms are Ca at (0.100, 0.000, 0.070), Ca at (0.207, 0.500, 0.590), Ca at (0.209, 0.500, 0.094), Ac at (0.001, 0.500, 0.257) and La at (0.091, 0.000, 0.562).

Its magnetization is 0.00 μB/f.u. The energy of formation from the pure elements comes out at 54 meV/atom. The calculation puts the raw total energy at -2.95 eV/atom.

***

[8]
Here is a geometry-optimized Ca4AcLa2 structure from Alexandria. Energies are from PBE.

The space group is I4/mmm (No. 139) and the conventional cell measures 6.129, 6.129 and 18.297 Å, with angles of 90.00, 90.00 and 90.00 degrees. The inequivalent atoms are Ca at (0.000, 0.000, 0.186), Ca at (0.000, 0.500, 0.000), Ac at (0.000, 0.000, 0.000) and La at (0.000, 0.000, 0.396).

Its magnetization is 0.00 μB/f.u. The energy of formation from the pure elements comes out at 663 meV/atom. The calculation puts the raw total energy at -2.48 eV/atom.

***

[9]
Here is a geometry-optimized CaAc3La12 structure from Alexandria. Energies are from PBE.

The space group is P4/mmm (No. 123) and the conventional cell measures 5.377, 5.377 and 21.291 Å, with angles of 90.00, 90.00 and 90.00 degrees. The inequivalent atoms are Ca at (0.000, 0.000, 0.000), Ac at (0.000, 0.000, 0.248), Ac at (0.000, 0.000, 0.500), La at (0.000, 0.500, 0.126), La at (0.000, 0.500, 0.375), La at (0.500, 0.500, 0.000), La at (0.500, 0.500, 0.247) and La at (0.500, 0.500, 0.500).

Its magnetization is 0.00 μB/f.u. The energy of formation from the pure elements comes out at 22 meV/atom. The calculation puts the raw total energy at -4.57 eV/atom.

***

[10]
Here is a geometry-optimized Ca2AcLa4 structure from Alexandria. Energies are from PBE.

The space group is Immm (No. 71) and the conventional cell measures 3.694, 6.084 and 24.746 Å, with angles of 90.00, 90.00 and 90.00 degrees. The inequivalent atoms are Ca at (0.000, 0.000, 0.223), Ac at (0.000, 0.000, 0.500), La at (0.000, 0.500, 0.134) and La at (0.000, 0.500, 0.415).

Its magnetization is 0.00 μB/f.u. The energy of formation from the pure elements comes out at 101 meV/atom. The calculation puts the raw total energy at -3.87 eV/atom.

***

[11]
Here is a geometry-optimized CaAc2La structure from Alexandria. Energies are from PBE.

The space group is P4/mmm (No. 123) and the conventional cell measures 5.543, 5.543 and 5.421 Å, with angles of 90.00, 90.00 and 90.00 degrees. The inequivalent atoms are Ca at (0.000, 0.000, 0.000), Ac at (0.000, 0.500, 0.500) and La at (0.500, 0.500, 0.000).

Its magnetization is 0.00 μB/f.u. The energy of formation from the pure elements comes out at 39 meV/atom. The calculation puts the raw total energy at -3.75 eV/atom.

***

[12]
Here is a geometry-optimized CaAc3La6 structure from Alexandria. Energies are from PBE.

The space group is P2_1/c (No. 14) and the conventional cell measures 3.869, 6.591 and 31.282 Å, with angles of 90.00, 90.06 and 90.00 degrees. The inequivalent atoms are Ca at (0.000, 0.000, 0.000), Ac at (0.499, 0.177, 0.799), Ac at (0.500, 0.000, 0.500), La at (0.001, 0.150, 0.398), La at (0.001, 0.169, 0.694) and La at (0.500, 0.160, 0.102).

Its magnetization is 0.00 μB/f.u. The energy of formation from the pure elements comes out at 31 meV/atom. The calculation puts the raw total energy at -4.36 eV/atom.